No. 1
# GGA-PBE YMo2PPb, relaxed
# space group: P4/mmm
# size of the total moment: 1.399 μB/atom
# formation enthalpy at 0 K: 1.92 eV/atom
data_YMo2PPb
_chemical_formula_sum 'Y1 Mo2 P1 Pb1'
_cell_length_a 5.299
_cell_length_b 5.299
_cell_length_c 5.542
_cell_angle_alpha 90.00
_cell_angle_beta 90.00
_cell_angle_gamma 90.00
_symmetry_space_group_name_H-M 'P 1'
_symmetry_Int_Tables_number 1
loop_
_symmetry_equiv_pos_as_xyz
'x,y,z'
loop_
_atom_site_label
_atom_site_type_symbol
_atom_site_fract_x
_atom_site_fract_y
_atom_site_fract_z
_atom_site_occupancy
Y1 Y 0.000 0.000 0.000 1
Mo1 Mo 0.000 0.500 0.500 1
Mo2 Mo 0.500 0.000 0.500 1
P1 P 0.500 0.500 0.000 1
Pb1 Pb 0.000 0.000 0.500 1

---

No. 2
# GGA-PBE Ac5Zn4Ag, relaxed
# space group: P4/mmm
# size of the total moment: 0.000 μB/atom
# formation enthalpy at 0 K: -0.25 eV/atom
data_Ac5Zn4Ag
_chemical_formula_sum 'Ac5 Zn4 Ag1'
_cell_length_a 3.933
_cell_length_b 3.933
_cell_length_c 19.495
_cell_angle_alpha 90.00
_cell_angle_beta 90.00
_cell_angle_gamma 90.00
_symmetry_space_group_name_H-M 'P 1'
_symmetry_Int_Tables_number 1
loop_
_symmetry_equiv_pos_as_xyz
'x,y,z'
loop_
_atom_site_label
_atom_site_type_symbol
_atom_site_fract_x
_atom_site_fract_y
_atom_site_fract_z
_atom_site_occupancy
Ac1 Ac 0.000 0.000 0.000 1
Ac2 Ac 0.000 0.000 0.200 1
Ac3 Ac 0.000 0.000 0.397 1
Ac4 Ac 0.000 0.000 0.603 1
Ac5 Ac 0.000 0.000 0.800 1
Zn1 Zn 0.500 0.500 0.100 1
Zn2 Zn 0.500 0.500 0.297 1
Zn3 Zn 0.500 0.500 0.703 1
Zn4 Zn 0.500 0.500 0.900 1
Ag1 Ag 0.500 0.500 0.500 1

---

Quick rundown of D(E_F), same order as above: 4.09 9.59 states/eV/cell